The following is a DFT calculation (PBE-GGA) of crystalline ThCdNi at its relaxed geometry.

Output
Total magnetization   0.0 μB per cell
DOS at the Fermi energy   14.6 states/eV per cell
Electronic total energy   -14.70 eV per formula unit

Cell and atoms, written as CIF:
```
data_ThCdNi
_cell_length_a 6.587
_cell_length_b 6.587
_cell_length_c 6.587
_cell_angle_alpha 90.00
_cell_angle_beta 90.00
_cell_angle_gamma 90.00
_space_group_name_H-M_alt 'F -4 3 m'
_space_group_IT_number 216
_space_group_name_Hall 'F -4 2 3'
loop_
_atom_site_label
_atom_site_fract_x
_atom_site_fract_y
_atom_site_fract_z
Th1 0.000 0.000 0.000
Cd1 0.000 0.000 0.500
Ni1 0.250 0.250 0.750
```

---

The following is a DFT calculation (PBE-GGA) of crystalline ThCdNi at its relaxed geometry.

Output
Total magnetization   0.0 μB per cell
DOS at the Fermi energy   7.9 states/eV per cell
Electronic total energy   -14.52 eV per formula unit

Cell and atoms, written as CIF:
```
data_ThCdNi
_cell_length_a 3.323
_cell_length_b 3.323
_cell_length_c 11.725
_cell_angle_alpha 90.00
_cell_angle_beta 90.00
_cell_angle_gamma 90.00
_space_group_name_H-M_alt 'I 4 m m'
_space_group_IT_number 107
_space_group_name_Hall 'I 4 -2'
loop_
_atom_site_label
_atom_site_fract_x
_atom_site_fract_y
_atom_site_fract_z
Th1 0.000 0.000 0.000
Cd1 0.000 0.000 0.282
Ni1 0.000 0.000 0.647
```